Entry 1:
First-principles (GGA-PBE) data for a relaxed AcCdF crystal, as listed in Alexandria.

Cell lengths 13.717, 3.978, 6.908 Å; angles 90.00, 90.00, 90.00 degrees
Element x y z (fractional)
Ac1 0.187 0.000 0.000
Ac2 0.187 0.500 0.500
Ac3 0.813 0.000 0.000
Ac4 0.813 0.500 0.500
Cd1 0.000 0.000 0.333
Cd2 0.000 0.500 0.833
Cd3 0.500 0.000 0.062
Cd4 0.500 0.500 0.562
F1 0.279 0.000 0.335
F2 0.279 0.500 0.835
F3 0.721 0.000 0.335
F4 0.721 0.500 0.835

Computed properties:
Crystal system: orthorhombic
SG: Amm2, No. 38
Spin magnetization (μB per formula unit): 0.0
Uncorrected formation energy (eV per atom): -1.55

***

Entry 2:
First-principles (GGA-PBE) data for a relaxed YSi2Br crystal, as listed in Alexandria.

Cell lengths 5.921, 8.735, 3.302 Å; angles 90.00, 90.00, 90.00 degrees
Element x y z (fractional)
Y1 0.000 0.000 0.000
Y2 0.500 0.500 0.000
Si1 0.250 0.250 0.500
Si2 0.250 0.750 0.500
Si3 0.750 0.250 0.500
Si4 0.750 0.750 0.500
Br1 0.000 0.500 0.000
Br2 0.500 0.000 0.000

Computed properties:
Crystal system: orthorhombic
SG: Cmmm, No. 65
Offset from the most stable computed form (eV/atom): 0.748
Spin magnetization (μB per formula unit): 0.0
Uncorrected formation energy (eV per atom): 0.03

***

Entry 3:
First-principles (GGA-PBE) data for a relaxed PuNi2Pt4 crystal, as listed in Alexandria.

Cell lengths 6.647, 6.647, 5.141 Å; angles 90.00, 90.00, 90.00 degrees
Element x y z (fractional)
Pu1 0.000 0.000 0.000
Pu2 0.500 0.500 0.500
Ni1 0.000 0.500 0.250
Ni2 0.000 0.500 0.750
Ni3 0.500 0.000 0.250
Ni4 0.500 0.000 0.750
Pt1 0.203 0.203 0.500
Pt2 0.203 0.797 0.500
Pt3 0.297 0.297 0.000
Pt4 0.297 0.703 0.000
Pt5 0.703 0.297 0.000
Pt6 0.703 0.703 0.000
Pt7 0.797 0.203 0.500
Pt8 0.797 0.797 0.500

Computed properties:
Energy of formation from the pure elements (eV/atom): -0.37
Crystal system: tetragonal
SG: I4/mmm, No. 139
Spin magnetization (μB per formula unit): 2.9

***

Entry 4:
First-principles (GGA-PBE) data for a relaxed PdPbBr6 crystal, as listed in Alexandria.

Cell lengths 7.129, 7.129, 10.601 Å; angles 90.33, 90.33, 74.50 degrees
Element x y z (fractional)
Pd1 0.000 0.500 0.000
Pd2 0.500 0.000 0.500
Pb1 0.005 0.995 0.750
Pb2 0.995 0.005 0.250
Br1 0.151 0.203 0.498
Br2 0.163 0.560 0.200
Br3 0.203 0.151 0.998
Br4 0.252 0.610 0.877
Br5 0.390 0.748 0.623
Br6 0.440 0.837 0.300
Br7 0.560 0.163 0.700
Br8 0.610 0.252 0.377
Br9 0.748 0.390 0.123
Br10 0.797 0.849 0.002
Br11 0.837 0.440 0.800
Br12 0.849 0.797 0.502

Computed properties:
Crystal system: monoclinic
SG: C2/c, No. 15
Offset from the most stable computed form (eV/atom): 0.000
Spin magnetization (μB per formula unit): 0.0
Uncorrected formation energy (eV per atom): -0.46

***

Entry 5:
First-principles (GGA-PBE) data for a relaxed Pm3DyRh3 crystal, as listed in Alexandria.

Cell lengths 6.991, 6.991, 7.086 Å; angles 90.45, 90.45, 96.31 degrees
Element x y z (fractional)
Pm1 0.181 0.819 0.000
Pm2 0.252 0.748 0.500
Pm3 0.329 0.329 0.121
Pm4 0.671 0.671 0.879
Pm5 0.748 0.252 0.500
Pm6 0.819 0.181 0.000
Dy1 0.242 0.242 0.623
Dy2 0.758 0.758 0.377
Rh1 0.007 0.500 0.771
Rh2 0.061 0.061 0.303
Rh3 0.500 0.007 0.771
Rh4 0.500 0.993 0.229
Rh5 0.939 0.939 0.697
Rh6 0.993 0.500 0.229

Computed properties:
Energy of formation from the pure elements (eV/atom): -0.60
Crystal system: monoclinic
SG: C2/m, No. 12
Spin magnetization (μB per formula unit): 0.0

***

Entry 6:
First-principles (GGA-PBE) data for a relaxed LaNiPd2 crystal, as listed in Alexandria.

Cell lengths 4.139, 4.139, 18.424 Å; angles 90.00, 90.00, 90.00 degrees
Element x y z (fractional)
La1 0.000 0.000 0.000
La2 0.000 0.500 0.250
La3 0.500 0.000 0.750
La4 0.500 0.500 0.500
Ni1 0.000 0.000 0.500
Ni2 0.000 0.500 0.750
Ni3 0.500 0.000 0.250
Ni4 0.500 0.500 0.000
Pd1 0.208 0.250 0.625
Pd2 0.250 0.708 0.875
Pd3 0.250 0.792 0.375
Pd4 0.292 0.250 0.125
Pd5 0.708 0.750 0.125
Pd6 0.750 0.208 0.375
Pd7 0.750 0.292 0.875
Pd8 0.792 0.750 0.625

Computed properties:
Energy of formation from the pure elements (eV/atom): -0.30
Crystal system: tetragonal
SG: I-42d, No. 122
Spin magnetization (μB per formula unit): 0.0